[1]
Below is a relaxed structure of Re2AsPt, with properties calculated at the PBE level. Values from VASP.

Quantum ESPRESSO input file:
```
&SYSTEM
  ibrav = 0, nat = 4, ntyp = 3
/
ATOMIC_SPECIES
Re 186.21 Re.upf
As 74.92 As.upf
Pt 195.08 Pt.upf
ATOMIC_POSITIONS crystal
Re 0.000 0.000 0.002
Re 0.000 0.000 0.498
As 0.500 0.500 0.250
Pt 0.500 0.500 0.750
CELL_PARAMETERS angstrom
2.743 -0.037 0.000
-0.874 2.601 0.000
0.000 0.000 8.830
```

The value obtained for the volume is 15.679 Å³ per atom. The density of states at the Fermi level comes out at 3.380 states/eV per cell. The calculation puts the energy of formation at 0.6330 eV per atom. The crystal system is orthorhombic.

[2]
Below is a relaxed structure of GaNiS2, with properties calculated at the PBE level. Values from VASP.

Quantum ESPRESSO input file:
```
&SYSTEM
  ibrav = 0, nat = 4, ntyp = 3
/
ATOMIC_SPECIES
Ni 58.69 Ni.upf
S 32.06 S.upf
Ga 69.72 Ga.upf
ATOMIC_POSITIONS crystal
Ni 0.500 0.500 0.500
S 0.885 0.885 0.885
S 0.115 0.115 0.115
Ga 0.000 0.000 0.000
CELL_PARAMETERS angstrom
1.923 0.000 7.687
-0.961 1.665 7.687
-0.961 -1.665 7.687
```

The value obtained for the volume is 18.456 Å³ per atom. The calculation puts the raw formation energy at -0.17 eV per atom. The density of states at the Fermi level comes out at 1.725 states/eV per cell. The crystal system is trigonal.